A geometry-optimized Ce3MgBi4 structure. Source: the Alexandria database, functional PBE.

Results
The energy of formation from the pure elements is -0.58 eV per atom. The space-group type is Pm-3m (221). Its crystal system is cubic.

a = 6.4545 Å, b = 6.4545 Å, c = 6.4545 Å
α = 90.00°, β = 90.00°, γ = 90.00°
Atoms (fractional coordinates):
Mg 0.0000 0.0000 0.0000
Bi 0.5000 0.0000 0.0000
Bi 0.0000 0.5000 0.0000
Bi 0.0000 0.0000 0.5000
Bi 0.5000 0.5000 0.5000
Ce 0.0000 0.5000 0.5000
Ce 0.5000 0.0000 0.5000
Ce 0.5000 0.5000 0.0000



A geometry-optimized LaTi2O5 structure. Source: the Alexandria database, functional PBE.

Results
The uncorrected formation energy comes out at -68.7 kcal/mol of atoms. The space-group type is Immm (71). Its crystal system is orthorhombic.

a = 3.1753 Å, b = 6.0709 Å, c = 6.0709 Å
α = 51.42°, β = 74.84°, γ = 74.84°
Atoms (fractional coordinates):
La 0.0000 0.0000 0.0000
Ti 0.8152 0.6848 0.6848
Ti 0.1848 0.3152 0.3152
O 0.0000 0.5000 0.5000
O 0.6562 0.6068 0.0808
O 0.3438 0.3932 0.9192
O 0.3438 0.9192 0.3932
O 0.6562 0.0808 0.6068



A geometry-optimized TaTe2Se structure. Source: the Alexandria database, functional PBE.

Results
The uncorrected formation energy comes out at 12.7 kcal/mol of atoms. The space-group type is P4/mmm (123). Its crystal system is tetragonal.

a = 5.1137 Å, b = 5.1137 Å, c = 3.3919 Å
α = 90.00°, β = 90.00°, γ = 90.00°
Atoms (fractional coordinates):
Se 0.5000 0.0000 0.5000
Ta 0.0000 0.5000 0.5000
Te 0.0000 0.0000 0.0000
Te 0.5000 0.5000 0.0000



A geometry-optimized NdY3Sc4 structure. Source: the Alexandria database, functional PBE.

Results
The energy of formation from the pure elements is 0.32 eV per atom. The space-group type is Imm2 (44). Its crystal system is orthorhombic.

a = 7.0371 Å, b = 7.0371 Å, c = 7.0371 Å
α = 110.28°, β = 91.24°, γ = 129.18°
Atoms (fractional coordinates):
Nd 0.9937 0.5000 0.4937
Y 0.5945 0.2049 0.7994
Y 0.9240 0.0000 0.9240
Y 0.5945 0.7951 0.3895
Sc 0.2840 0.6772 0.9612
Sc 0.2840 0.3228 0.6068
Sc 0.4739 0.2357 0.2382
Sc 0.0025 0.7643 0.2382



A geometry-optimized VInMo structure. Source: the Alexandria database, functional PBE.

Results
The energy of formation from the pure elements is 0.22 eV per atom. The space-group type is C2/m (12). Its crystal system is monoclinic.

a = 4.2656 Å, b = 5.2964 Å, c = 10.7715 Å
α = 104.49°, β = 101.42°, γ = 90.00°
Atoms (fractional coordinates):
In 0.0803 0.3392 0.1606
In 0.4643 0.2113 0.9286
In 0.5357 0.7887 0.0714
In 0.9197 0.6608 0.8394
V 0.2211 0.5612 0.4421
V 0.7806 0.9412 0.5612
V 0.7789 0.4388 0.5579
V 0.2194 0.0588 0.4388
Mo 0.3359 0.3163 0.6719
Mo 0.6619 0.1782 0.3238
Mo 0.6641 0.6837 0.3281
Mo 0.3381 0.8218 0.6762



A geometry-optimized YFe2Pt structure. Source: the Alexandria database, functional PBE.

Results
The energy of formation from the pure elements is -0.09 eV per atom. The space-group type is Fm-3m (225). Its crystal system is cubic.

a = 4.5088 Å, b = 4.5088 Å, c = 4.5088 Å
α = 60.00°, β = 60.00°, γ = 60.00°
Atoms (fractional coordinates):
Y 0.0000 0.0000 0.0000
Fe 0.2500 0.2500 0.2500
Fe 0.7500 0.7500 0.7500
Pt 0.5000 0.5000 0.5000



A geometry-optimized NbSnAs3 structure. Source: the Alexandria database, functional PBE.

Results
The energy of formation from the pure elements is 1.38 eV per atom. The space-group type is Pm-3m (221). Its crystal system is cubic.

a = 5.0825 Å, b = 5.0825 Å, c = 5.0825 Å
α = 90.00°, β = 90.00°, γ = 90.00°
Atoms (fractional coordinates):
As 0.0000 0.5000 0.0000
As 0.0000 0.0000 0.5000
As 0.5000 0.0000 0.0000
Nb 0.5000 0.5000 0.5000
Sn 0.0000 0.0000 0.0000



A geometry-optimized TlAsP2O structure. Source: the Alexandria database, functional PBE.

Results
The uncorrected formation energy comes out at 24.8 kcal/mol of atoms. The space-group type is P4/mmm (123). Its crystal system is tetragonal.

a = 5.1526 Å, b = 5.1526 Å, c = 4.0728 Å
α = 90.00°, β = 90.00°, γ = 90.00°
Atoms (fractional coordinates):
P 0.0000 0.5000 0.0000
P 0.5000 0.0000 0.0000
Tl 0.0000 0.0000 0.0000
As 0.5000 0.5000 0.5000
O 0.0000 0.0000 0.5000



A geometry-optimized YBe2TcW structure. Source: the Alexandria database, functional PBE.

Results
The energy of formation from the pure elements is 0.78 eV per atom. The space-group type is P4/mmm (123). Its crystal system is tetragonal.

a = 4.4901 Å, b = 4.6796 Å, c = 4.4901 Å
α = 90.00°, β = 90.00°, γ = 90.00°
Atoms (fractional coordinates):
Y 0.5000 0.5000 0.5000
Be 0.0000 0.0000 0.5000
Be 0.5000 0.0000 0.0000
Tc 0.0000 0.5000 0.0000
W 0.0000 0.0000 0.0000



A geometry-optimized K3Nd3SiS8 structure. Source: the Alexandria database, functional PBE.

Results
The uncorrected formation energy comes out at -34.3 kcal/mol of atoms. The space-group type is R-3m (166). Its crystal system is trigonal.

a = 8.0926 Å, b = 8.0928 Å, c = 8.8426 Å
α = 117.23°, β = 90.00°, γ = 120.00°
Atoms (fractional coordinates):
K 0.0000 0.0000 0.0000
K 0.0000 0.5000 0.0000
K 0.5000 0.5000 0.0000
Nd 0.5000 0.0000 0.5000
Nd 0.5000 0.5000 0.5000
Nd 0.0000 0.5000 0.5000
Si 0.0000 0.0000 0.5000
S 0.2638 0.5276 0.2912
S 0.7362 0.4724 0.7088
S 0.7976 0.5953 0.3179
S 0.2024 0.4047 0.6821
S 0.7974 0.0197 0.3168
S 0.2026 0.9803 0.6832
S 0.2223 0.0197 0.3168
S 0.7777 0.9803 0.6832



A geometry-optimized Hf2VOsS structure. Source: the Alexandria database, functional PBE.

Results
The uncorrected formation energy comes out at 20.9 kcal/mol of atoms. The space-group type is P4/mmm (123). Its crystal system is tetragonal.

a = 4.9650 Å, b = 4.3228 Å, c = 4.9650 Å
α = 90.00°, β = 90.00°, γ = 90.00°
Atoms (fractional coordinates):
Hf 0.0000 0.0000 0.5000
Hf 0.5000 0.0000 0.0000
S 0.5000 0.5000 0.5000
Os 0.0000 0.5000 0.0000
V 0.0000 0.0000 0.0000



A geometry-optimized Pu2TiSi structure. Source: the Alexandria database, functional PBE.

Results
The uncorrected formation energy comes out at -5.6 kcal/mol of atoms. The space-group type is P4/mmm (123). Its crystal system is tetragonal.

a = 4.4102 Å, b = 4.1508 Å, c = 4.1508 Å
α = 90.00°, β = 90.00°, γ = 90.00°
Atoms (fractional coordinates):
Si 0.5000 0.5000 0.5000
Ti 0.5000 0.0000 0.0000
Pu 0.0000 0.0000 0.5000
Pu 0.0000 0.5000 0.0000



A geometry-optimized IrOs2Rh3 structure. Source: the Alexandria database, functional PBE.

Results
The energy of formation from the pure elements is 0.01 eV per atom. The space-group type is C2/m (12). Its crystal system is monoclinic.

a = 2.7493 Å, b = 8.4941 Å, c = 8.4572 Å
α = 62.28°, β = 80.65°, γ = 80.69°
Atoms (fractional coordinates):
Ir 0.6112 0.0091 0.7686
Ir 0.3888 0.9909 0.2314
Os 0.7213 0.6498 0.9076
Os 0.2787 0.3502 0.0924
Os 0.0558 0.8220 0.0664
Os 0.9442 0.1780 0.9336
Rh 0.7222 0.1577 0.3979
Rh 0.9436 0.6847 0.4280
Rh 0.6105 0.5196 0.2595
Rh 0.2778 0.8423 0.6021
Rh 0.3895 0.4804 0.7405
Rh 0.0564 0.3153 0.5720



A geometry-optimized Ti12Sb6Mo structure. Source: the Alexandria database, functional PBE.

Results
The uncorrected formation energy comes out at -5.5 kcal/mol of atoms. The space-group type is R-3 (148). Its crystal system is trigonal.

a = 7.8627 Å, b = 7.8627 Å, c = 7.8627 Å
α = 110.82°, β = 110.82°, γ = 110.82°
Atoms (fractional coordinates):
Ti 0.8111 0.6929 0.5551
Ti 0.5551 0.8111 0.6929
Ti 0.6929 0.5551 0.8111
Ti 0.1889 0.3071 0.4449
Ti 0.4449 0.1889 0.3071
Ti 0.3071 0.4449 0.1889
Ti 0.9038 0.8271 0.2643
Ti 0.1729 0.7357 0.0962
Ti 0.7357 0.0962 0.1729
Ti 0.0962 0.1729 0.7357
Ti 0.8271 0.2643 0.9038
Ti 0.2643 0.9038 0.8271
Sb 0.6305 0.9077 0.4081
Sb 0.5919 0.3695 0.0923
Sb 0.0923 0.5919 0.3695
Sb 0.3695 0.0923 0.5919
Sb 0.4081 0.6305 0.9077
Sb 0.9077 0.4081 0.6305
Mo 0.0000 0.0000 0.0000



A geometry-optimized Tb2NdZn structure. Source: the Alexandria database, functional PBE.

Results
The energy of formation from the pure elements is -0.16 eV per atom. The space-group type is P4/mmm (123). Its crystal system is tetragonal.

a = 3.6066 Å, b = 3.6066 Å, c = 8.7170 Å
α = 90.00°, β = 90.00°, γ = 90.00°
Atoms (fractional coordinates):
Nd 0.5000 0.5000 0.5000
Zn 0.5000 0.5000 0.0000
Tb 0.0000 0.0000 0.7969
Tb 0.0000 0.0000 0.2031



A geometry-optimized AcH6Se2N2 structure. Source: the Alexandria database, functional PBE.

Results
As for the total DFT energy (no corrections): -5.0161 eV/atom. The space-group type is P-1 (2). Its crystal system is triclinic.

a = 5.9713 Å, b = 8.0834 Å, c = 8.1025 Å
α = 145.09°, β = 89.98°, γ = 68.35°
Atoms (fractional coordinates):
Ac 0.5000 0.0000 0.5000
H 0.2980 0.6841 0.8233
H 0.9813 0.3126 0.1730
H 0.2660 0.4666 0.4986
H 0.0187 0.6874 0.8270
H 0.7340 0.5334 0.5014
H 0.7020 0.3159 0.1767
Se 0.8210 0.3585 0.7070
Se 0.1790 0.6415 0.2930
N 0.2386 0.5235 0.6696
N 0.7614 0.4765 0.3304



A geometry-optimized PrDy2Cu structure. Source: the Alexandria database, functional PBE.

Results
The energy of formation from the pure elements is -0.06 eV per atom. The space-group type is Cmcm (63). Its crystal system is orthorhombic.

a = 4.9609 Å, b = 6.4182 Å, c = 7.5270 Å
α = 90.00°, β = 90.00°, γ = 112.78°
Atoms (fractional coordinates):
Pr 0.9517 0.9029 0.2500
Pr 0.0483 0.0971 0.7500
Dy 0.3503 0.7008 0.5302
Dy 0.6497 0.2992 0.4698
Dy 0.3503 0.7008 0.9698
Dy 0.6497 0.2992 0.0302
Cu 0.7989 0.5980 0.7500
Cu 0.2011 0.4020 0.2500



A geometry-optimized GaBiSe2Br structure. Source: the Alexandria database, functional PBE.

Results
The uncorrected formation energy comes out at -0.5 kcal/mol of atoms. The space-group type is P4/mmm (123). Its crystal system is tetragonal.

a = 5.1075 Å, b = 5.1075 Å, c = 4.9664 Å
α = 90.00°, β = 90.00°, γ = 90.00°
Atoms (fractional coordinates):
Ga 0.0000 0.0000 0.0000
Se 0.0000 0.5000 0.0000
Se 0.5000 0.0000 0.0000
Bi 0.5000 0.5000 0.5000
Br 0.0000 0.0000 0.5000



A geometry-optimized Nd3Sn6Rh5 structure. Source: the Alexandria database, functional PBE.

Results
The energy of formation from the pure elements is -0.71 eV per atom. The space-group type is Pmmn (59). Its crystal system is orthorhombic.

a = 4.4669 Å, b = 9.8025 Å, c = 13.7118 Å
α = 90.00°, β = 90.00°, γ = 90.00°
Atoms (fractional coordinates):
Nd 0.0000 0.2484 0.7020
Nd 0.5000 0.7516 0.2020
Nd 0.5000 0.7516 0.7980
Nd 0.0000 0.2671 0.0000
Nd 0.5000 0.7329 0.5000
Nd 0.0000 0.2484 0.2980
Sn 0.0000 0.9798 0.8434
Sn 0.5000 0.0202 0.6566
Sn 0.5000 0.4075 0.8204
Sn 0.5000 0.6016 0.0000
Sn 0.0000 0.3984 0.5000
Sn 0.0000 0.5925 0.6796
Sn 0.0000 0.5925 0.3204
Sn 0.5000 0.9657 0.0000
Sn 0.0000 0.9798 0.1566
Sn 0.5000 0.4075 0.1796
Sn 0.0000 0.0343 0.5000
Sn 0.5000 0.0202 0.3434
Rh 0.0000 0.5400 0.8873
Rh 0.0000 0.8674 0.6570
Rh 0.0000 0.7957 0.0000
Rh 0.5000 0.4600 0.6127
Rh 0.5000 0.2043 0.5000
Rh 0.0000 0.5400 0.1127
Rh 0.5000 0.4600 0.3873
Rh 0.0000 0.8674 0.3430
Rh 0.5000 0.1326 0.8430
Rh 0.5000 0.1326 0.1570



A geometry-optimized Hf3ZrS structure. Source: the Alexandria database, functional PBE.

Results
The uncorrected formation energy comes out at -9.8 kcal/mol of atoms. The space-group type is Pm-3m (221). Its crystal system is cubic.

a = 4.8008 Å, b = 4.8008 Å, c = 4.8008 Å
α = 90.00°, β = 90.00°, γ = 90.00°
Atoms (fractional coordinates):
S 0.0000 0.0000 0.0000
Hf 0.0000 0.5000 0.0000
Hf 0.0000 0.0000 0.5000
Hf 0.5000 0.0000 0.0000
Zr 0.5000 0.5000 0.5000



A geometry-optimized Mg2CdPb6 structure. Source: the Alexandria database, functional PBE.

Results
The energy of formation from the pure elements is 0.02 eV per atom. The space-group type is P-6m2 (187). Its crystal system is hexagonal.

a = 3.5372 Å, b = 3.5372 Å, c = 24.0457 Å
α = 90.00°, β = 90.00°, γ = 120.00°
Atoms (fractional coordinates):
Mg 0.6667 0.3333 0.3320
Mg 0.6667 0.3333 0.6680
Cd 0.3333 0.6667 0.0000
Pb 0.6667 0.3333 0.8914
Pb 0.3333 0.6667 0.4328
Pb 0.3333 0.6667 0.7709
Pb 0.3333 0.6667 0.2291
Pb 0.3333 0.6667 0.5672
Pb 0.6667 0.3333 0.1086



A geometry-optimized La2FePd structure. Source: the Alexandria database, functional PBE.

Results
The energy of formation from the pure elements is -0.01 eV per atom. The space-group type is I-42d (122). Its crystal system is tetragonal.

a = 7.5818 Å, b = 7.5818 Å, c = 6.2401 Å
α = 52.59°, β = 52.59°, γ = 90.00°
Atoms (fractional coordinates):
Fe 0.5000 0.5000 0.0000
Fe 0.2500 0.7500 0.5000
Pd 0.0000 0.0000 0.0000
Pd 0.7500 0.2500 0.5000
La 0.5852 0.1250 0.2500
La 0.1648 0.6250 0.2500
La 0.3750 0.4148 0.7500
La 0.8750 0.8352 0.7500



A geometry-optimized BaTl3Co structure. Source: the Alexandria database, functional PBE.

Results
The energy of formation from the pure elements is 1.36 eV per atom. The space-group type is Pm-3m (221). Its crystal system is cubic.

a = 6.4306 Å, b = 6.4306 Å, c = 6.4306 Å
α = 90.00°, β = 90.00°, γ = 90.00°
Atoms (fractional coordinates):
Tl 0.0000 0.5000 0.0000
Tl 0.0000 0.0000 0.5000
Tl 0.5000 0.0000 0.0000
Co 0.5000 0.5000 0.5000
Ba 0.0000 0.0000 0.0000



A geometry-optimized TbPrMgSc structure. Source: the Alexandria database, functional PBE.

Results
The energy of formation from the pure elements is 0.02 eV per atom. The space-group type is F-43m (216). Its crystal system is cubic.

a = 5.4628 Å, b = 5.4628 Å, c = 5.4628 Å
α = 60.00°, β = 60.00°, γ = 60.00°
Atoms (fractional coordinates):
Pr 0.2500 0.2500 0.2500
Sc 0.0000 0.0000 0.0000
Mg 0.5000 0.5000 0.5000
Tb 0.7500 0.7500 0.7500



no.,spin magnetization (μB per cell)
1,1.917
2,0.598
3,0.000
4,0.004
5,0.000
6,5.148
7,0.000
8,0.000
9,0.788
10,0.000
11,0.619
12,9.432
13,0.000
14,0.000
15,0.000
16,1.015
17,0.000
18,0.000
19,0.000
20,0.000
21,0.000
22,0.000
23,1.533
24,0.000